This record from OQMD via LeMat-Bulk describes a geometry-optimized HgBr2 structure. The functional is GGA-PBE. Values from VASP.

```
&SYSTEM
  ibrav = 0, nat = 6, ntyp = 2
/
ATOMIC_SPECIES
Br 79.90 Br.upf
Hg 200.59 Hg.upf
CELL_PARAMETERS angstrom
0.812 4.422 4.343
-4.798 1.768 3.597
-0.087 -1.520 6.063
ATOMIC_POSITIONS crystal
Br 0.625 0.625 0.125
Br 0.625 0.125 0.625
Br 0.125 0.625 0.625
Br 0.625 0.625 0.625
Hg 0.000 0.000 0.000
Hg 0.250 0.250 0.250
```

Properties
E = -0.781 eV per atom

This record from OQMD via LeMat-Bulk describes a geometry-optimized PmSmPO structure. The functional is GGA-PBE. Values from VASP.

```
&SYSTEM
  ibrav = 0, nat = 8, ntyp = 4
/
ATOMIC_SPECIES
O 16.00 O.upf
P 30.97 P.upf
Pm 145.00 Pm.upf
Sm 150.36 Sm.upf
CELL_PARAMETERS angstrom
-3.836 1.877 0.944
-1.104 -3.472 2.421
3.645 3.842 7.173
ATOMIC_POSITIONS crystal
O 0.000 0.000 0.000
O 0.500 0.500 0.000
P 0.500 0.000 0.298
P 0.000 0.500 0.702
Pm 0.000 0.000 0.500
Pm 0.500 0.500 0.500
Sm 0.000 0.500 0.105
Sm 0.500 0.000 0.895
```

Properties
E = -6.794 eV per atom
Excess energy over the best structure of this formula in the dataset = 125 meV/atom

This record from OQMD via LeMat-Bulk describes a geometry-optimized Hf4Ga3W2C3 structure. The functional is GGA-PBE. Values from VASP.

```
&SYSTEM
  ibrav = 0, nat = 24, ntyp = 4
/
ATOMIC_SPECIES
C 12.01 C.upf
Ga 69.72 Ga.upf
Hf 178.49 Hf.upf
W 183.84 W.upf
CELL_PARAMETERS angstrom
5.519 0.000 0.000
-2.747 4.787 0.000
-0.022 -3.184 13.640
ATOMIC_POSITIONS crystal
C 0.500 0.000 0.000
C 0.170 0.335 0.000
C 0.830 0.665 0.000
C 0.665 0.330 0.500
C 0.000 0.000 0.500
C 0.335 0.670 0.500
Ga 0.582 0.541 0.249
Ga 0.870 0.120 0.250
Ga 0.292 0.834 0.251
Ga 0.708 0.166 0.749
Ga 0.130 0.880 0.750
Ga 0.418 0.459 0.751
Hf 0.194 0.060 0.096
Hf 0.870 0.398 0.096
Hf 0.302 0.274 0.404
Hf 0.964 0.599 0.404
Hf 0.036 0.401 0.596
Hf 0.698 0.726 0.596
Hf 0.130 0.602 0.904
Hf 0.806 0.940 0.904
W 0.526 0.727 0.081
W 0.646 0.945 0.419
W 0.354 0.055 0.581
W 0.474 0.273 0.919
```

Properties
E = -9.128 eV per atom

This record from OQMD via LeMat-Bulk describes a geometry-optimized GeIrPt structure. The functional is GGA-PBE. Values from VASP.

```
&SYSTEM
  ibrav = 0, nat = 3, ntyp = 3
/
ATOMIC_SPECIES
Ge 72.64 Ge.upf
Ir 192.22 Ir.upf
Pt 195.08 Pt.upf
CELL_PARAMETERS angstrom
0.000 2.910 2.910
2.910 0.000 2.910
2.910 2.910 0.000
ATOMIC_POSITIONS crystal
Ge 0.000 0.000 0.000
Ir 0.250 0.250 0.250
Pt 0.750 0.750 0.750
```

Properties
E = -6.773 eV per atom

This record from OQMD via LeMat-Bulk describes a geometry-optimized ZrNbGaFe structure. The functional is GGA-PBE. Values from VASP.

```
&SYSTEM
  ibrav = 0, nat = 4, ntyp = 4
/
ATOMIC_SPECIES
Fe 55.84 Fe.upf
Ga 69.72 Ga.upf
Nb 92.91 Nb.upf
Zr 91.22 Zr.upf
CELL_PARAMETERS angstrom
2.659 -3.395 1.350
-0.716 -4.184 -1.549
2.923 -1.868 -2.895
ATOMIC_POSITIONS crystal
Fe 0.750 0.750 0.750
Ga 0.000 0.000 0.000
Nb 0.250 0.250 0.250
Zr 0.500 0.500 0.500
```

Properties
E = -7.416 eV per atom
Excess energy over the best structure of this formula in the dataset = 0 meV/atom

This record from OQMD via LeMat-Bulk describes a geometry-optimized NdTe structure. The functional is GGA-PBE. Values from VASP.

```
&SYSTEM
  ibrav = 0, nat = 2, ntyp = 2
/
ATOMIC_SPECIES
Nd 144.24 Nd.upf
Te 127.60 Te.upf
CELL_PARAMETERS angstrom
0.000 3.536 3.536
3.536 0.000 3.536
3.536 3.536 0.000
ATOMIC_POSITIONS crystal
Nd 0.000 0.000 0.000
Te 0.250 0.250 0.250
```

Properties
E = -4.889 eV per atom